Material: Pm2Zn3Ge4
Method: DFT, PBE
State: relaxed

**ΔH_f (0 K)**: -378 kJ/mol of formula units
**SG**: Cmce, No. 64

abc: 5.8792 7.8666 8.2214
angles: 90.00 110.95 90.00
Closest atoms and distances in Å follow each position.
Fractional positions:
Pm1 0.8845 0.4167 0.7690  8 Ge 3.12-3.19, 4 Zn 3.29-3.36
Ge1 0.3110 0.4525 0.6220  5 Zn 2.64-2.93
Ge2 0.1890 0.9525 0.3780  5 Zn 2.64-2.93
Ge3 0.2980 0.2500 0.0960  3 Zn 2.54-2.56
Pm2 0.6155 0.9167 0.2310  8 Ge 3.12-3.19, 4 Zn 3.29-3.36
Ge4 0.2020 0.7500 0.9040  3 Zn 2.54-2.56
Zn1 0.0368 0.7500 0.5736  5 Ge 2.54-2.79
Ge5 0.7980 0.2500 0.0960  3 Zn 2.54-2.56
Pm3 0.3845 0.0833 0.7690  8 Ge 3.12-3.19, 4 Zn 3.29-3.36
Zn2 0.0000 0.0000 0.0000  4 Ge 2.56
Zn3 0.9632 0.2500 0.4264  5 Ge 2.54-2.79
Pm4 0.1155 0.5833 0.2310  8 Ge 3.12-3.19, 4 Zn 3.29-3.36
Ge6 0.7020 0.7500 0.9040  3 Zn 2.54-2.56
Ge7 0.8110 0.0475 0.6220  5 Zn 2.64-2.93
Ge8 0.6890 0.5475 0.3780  5 Zn 2.64-2.93
Zn4 0.5000 0.5000 0.0000  4 Ge 2.56
Zn5 0.5368 0.7500 0.5736  5 Ge 2.54-2.79
Zn6 0.4632 0.2500 0.4264  5 Ge 2.54-2.79

***

Material: Sr2MgF
Method: DFT, PBE
State: relaxed

**Energy relative to the lowest polymorph listed for this composition**: 1.41 eV/f.u.
**Uncorrected formation energy**: -0.967 eV/atom
**SG**: R-3m, No. 166

abc: 3.9126 3.9126 10.4798
angles: 79.24 79.24 60.00
Closest atoms and distances in Å follow each position.
Fractional positions:
Sr1 0.8870 0.8870 0.3390  3 F 2.80
F1 0.5000 0.5000 0.5000  6 Sr 2.80
Sr2 0.1130 0.1130 0.6610  3 F 2.80
Mg1 0.0000 0.0000 0.0000  2 Sr 3.47

***

Material: KAlAs
Method: DFT, PBE
State: relaxed

**ΔH_f (0 K)**: 20 kJ/mol of formula units
**SG**: P-6m2, No. 187

abc: 5.0849 5.0849 3.1691
angles: 90.00 90.00 120.00
Closest atoms and distances in Å follow each position.
Fractional positions:
Al1 0.0000 0.0000 0.1670  3 As 2.94, 2 Al 3.17
As1 0.6667 0.3333 0.1665  3 Al 2.94, 2 As 3.17
K1 0.3333 0.6667 0.6665  2 K 3.17, 6 Al 3.34, 6 As 3.34

***

Computed calculated volume (Å³/atom) in order:
19.728; 33.917; 23.654